VReO6: optimized geometry, PBE with a Hubbard U.

a b c (Å): 4.716 4.716 5.448
angles (deg): 64.35 83.67 75.24
Atoms (fractional coordinates):
Re1 0.500 0.500 0.000
O1 0.257 0.871 0.744
O2 0.757 0.756 0.000
O3 0.257 0.615 0.256
O4 0.243 0.244 0.000
O5 0.743 0.385 0.744
O6 0.743 0.129 0.256
V1 0.000 0.000 0.000

Results
final energy: -0.2795 hartree per atom
spin magnetization: 0.00 Bohr magnetons per cell
V: 105.7 Å³ per cell